{"formula": "NaMnSeO4", "functional": "GGA+U", "state": "relaxed", "lattice": [[5.888, 0.000, 0.000], [2.944, 5.698, -0.087], [2.944, 1.653, 5.454]], "species": ["Na", "Na", "Mn", "Mn", "Se", "Se", "O", "O", "O", "O", "O", "O", "O", "O"], "frac_coords": [[0.000, 0.000, 0.000], [0.000, 0.500, 0.500], [0.500, 0.000, 0.500], [0.000, 0.000, 0.500], [0.647, 0.603, 0.103], [0.353, 0.397, 0.897], [0.750, 0.814, 0.686], [0.250, 0.814, 0.686], [0.750, 0.186, 0.314], [0.250, 0.186, 0.314], [0.307, 0.717, 0.217], [0.759, 0.717, 0.217], [0.241, 0.283, 0.783], [0.693, 0.283, 0.783]], "magmom_total_mub_per_fu": 4.00, "total_energy_ev_per_fu": -40.93, "mass_density_g_cm3": 3.99}